# Na5CaHg4, relaxed, DFT PBE
# E = -1.22 eV/atom
# crystal system = monoclinic
data_Na5CaHg4
_space_group_name_H-M_alt 'C 1 2/m 1'
_space_group_IT_number 12
_cell_length_a 16.2290
_cell_length_b 5.1906
_cell_length_c 6.8699
_cell_angle_alpha 90.00
_cell_angle_beta 107.17
_cell_angle_gamma 90.00
loop_
_space_group_symop_operation_xyz
'x,y,z'
'-x,-y,-z'
'-x,y,-z'
'x,-y,z'
'x+1/2,y+1/2,z'
'-x+1/2,-y+1/2,-z'
'-x+1/2,y+1/2,-z'
'x+1/2,-y+1/2,z'
loop_
_atom_site_label
_atom_site_fract_x
_atom_site_fract_y
_atom_site_fract_z
Na1 0.0000 0.0000 0.0000
Na2 0.1121 0.5000 0.9013
Na3 0.2111 0.0000 0.3205
Ca1 0.0000 0.0000 0.5000
Hg1 0.0900 0.5000 0.3631
Hg2 0.1944 0.0000 0.7955

# Na3CaHg, relaxed, DFT PBE
# E = -0.76 eV/atom
# crystal system = cubic
# energy above the most stable polymorph in this dataset = 428 meV per atom
data_Na3CaHg
_space_group_name_H-M_alt 'P m -3 m'
_space_group_IT_number 221
_space_group_name_Hall '-P 4 2 3'
_cell_length_a 6.8209
_cell_length_b 6.8209
_cell_length_c 6.8209
_cell_angle_alpha 90.00
_cell_angle_beta 90.00
_cell_angle_gamma 90.00
loop_
_atom_site_label
_atom_site_fract_x
_atom_site_fract_y
_atom_site_fract_z
Na1 0.0000 0.0000 0.5000
Ca1 0.0000 0.0000 0.0000
Hg1 0.5000 0.5000 0.5000

# Na4CaHg2, relaxed, DFT PBE
# E = -1.29 eV/atom
# crystal system = orthorhombic
# energy above the most stable polymorph in this dataset = 0 meV per atom
data_Na4CaHg2
_space_group_name_H-M_alt 'C m m m'
_space_group_IT_number 65
_space_group_name_Hall '-C 2 2'
_cell_length_a 5.1112
_cell_length_b 21.4119
_cell_length_c 3.8469
_cell_angle_alpha 90.00
_cell_angle_beta 90.00
_cell_angle_gamma 90.00
loop_
_atom_site_label
_atom_site_fract_x
_atom_site_fract_y
_atom_site_fract_z
Na1 0.0000 0.1536 0.0000
Na2 0.0000 0.3090 0.5000
Ca1 0.0000 0.0000 0.5000
Hg1 0.0000 0.4312 0.0000

# NaCaHg6, relaxed, DFT PBE
# E = -0.94 eV/atom
# crystal system = hexagonal
data_NaCaHg6
_space_group_name_H-M_alt 'P -6 m 2'
_space_group_IT_number 187
_space_group_name_Hall 'P -6 2'
_cell_length_a 6.6549
_cell_length_b 6.6549
_cell_length_c 5.2739
_cell_angle_alpha 90.00
_cell_angle_beta 90.00
_cell_angle_gamma 120.00
loop_
_atom_site_label
_atom_site_fract_x
_atom_site_fract_y
_atom_site_fract_z
Na1 0.0000 0.0000 0.0000
Ca1 0.3333 0.6667 0.5000
Hg1 0.3354 0.1677 0.5000
Hg2 0.5030 0.0060 0.0000

# Na6CaHg12, relaxed, DFT PBE
# E = -0.96 eV/atom
# crystal system = trigonal
data_Na6CaHg12
_space_group_name_H-M_alt 'R -3'
_space_group_IT_number 148
_space_group_name_Hall '-R 3'
_cell_length_a 14.2465
_cell_length_b 14.2465
_cell_length_c 8.2501
_cell_angle_alpha 90.00
_cell_angle_beta 90.00
_cell_angle_gamma 120.00
loop_
_atom_site_label
_atom_site_fract_x
_atom_site_fract_y
_atom_site_fract_z
Na1 0.0296 0.7578 0.3292
Ca1 0.0000 0.0000 0.0000
Hg1 0.0181 0.8750 0.6616
Hg2 0.0683 0.5070 0.6765

# NaCa5Hg4, relaxed, DFT PBE
# E = -1.69 eV/atom
# crystal system = tetragonal
data_NaCa5Hg4
_space_group_name_H-M_alt 'P 4/m m m'
_space_group_IT_number 123
_space_group_name_Hall '-P 4 2'
_cell_length_a 3.7941
_cell_length_b 3.7941
_cell_length_c 20.4354
_cell_angle_alpha 90.00
_cell_angle_beta 90.00
_cell_angle_gamma 90.00
loop_
_atom_site_label
_atom_site_fract_x
_atom_site_fract_y
_atom_site_fract_z
Na1 0.0000 0.0000 0.0000
Ca1 0.5000 0.5000 0.1329
Ca2 0.5000 0.5000 0.3146
Ca3 0.5000 0.5000 0.5000
Hg1 0.0000 0.0000 0.2181
Hg2 0.0000 0.0000 0.4071

# NaCa5Hg3, relaxed, DFT PBE
# E = -1.70 eV/atom
# crystal system = hexagonal
data_NaCa5Hg3
_space_group_name_H-M_alt 'P 63/m c m'
_space_group_IT_number 193
_space_group_name_Hall '-P 6c 2'
_cell_length_a 9.6148
_cell_length_b 9.6148
_cell_length_c 6.7955
_cell_angle_alpha 90.00
_cell_angle_beta 90.00
_cell_angle_gamma 120.00
loop_
_atom_site_label
_atom_site_fract_x
_atom_site_fract_y
_atom_site_fract_z
Na1 0.0000 0.0000 0.0000
Ca1 0.0000 0.3137 0.2500
Ca2 0.3333 0.6667 0.0000
Hg1 0.0000 0.3575 0.7500

# Na3CaHg8, relaxed, DFT PBE
# E = -0.91 eV/atom
# crystal system = monoclinic
data_Na3CaHg8
_space_group_name_H-M_alt 'C 1 m 1'
_space_group_IT_number 8
_cell_length_a 9.3099
_cell_length_b 9.8867
_cell_length_c 8.4114
_cell_angle_alpha 90.00
_cell_angle_beta 117.65
_cell_angle_gamma 90.00
loop_
_space_group_symop_operation_xyz
'x,y,z'
'x,-y,z'
'x+1/2,y+1/2,z'
'x+1/2,-y+1/2,z'
loop_
_atom_site_label
_atom_site_fract_x
_atom_site_fract_y
_atom_site_fract_z
Na1 0.0000 0.0000 0.0000
Na2 0.0164 0.2335 0.3716
Ca1 0.0164 0.5000 0.8941
Hg1 0.1208 0.0000 0.6875
Hg2 0.2568 0.5000 0.3275
Hg3 0.2602 0.2565 0.9514
Hg4 0.2869 0.0000 0.4498
Hg5 0.3799 0.2808 0.6593
Hg6 0.3850 0.0000 0.1703

# Na2CaHg6, relaxed, DFT PBE
# E = -1.01 eV/atom
# crystal system = hexagonal
# energy above the most stable polymorph in this dataset = 0 meV per atom
data_Na2CaHg6
_space_group_name_H-M_alt 'P 6/m m m'
_space_group_IT_number 191
_space_group_name_Hall '-P 6 2'
_cell_length_a 8.7736
_cell_length_b 8.7736
_cell_length_c 3.4877
_cell_angle_alpha 90.00
_cell_angle_beta 90.00
_cell_angle_gamma 120.00
loop_
_atom_site_label
_atom_site_fract_x
_atom_site_fract_y
_atom_site_fract_z
Na1 0.3333 0.6667 0.0000
Ca1 0.0000 0.0000 0.0000
Hg1 0.0000 0.3347 0.5000

# Na3CaHg12, relaxed, DFT PBE
# E = -0.83 eV/atom
# crystal system = tetragonal
data_Na3CaHg12
_space_group_name_H-M_alt 'P 4/m m m'
_space_group_IT_number 123
_space_group_name_Hall '-P 4 2'
_cell_length_a 4.7181
_cell_length_b 4.7181
_cell_length_c 18.5826
_cell_angle_alpha 90.00
_cell_angle_beta 90.00
_cell_angle_gamma 90.00
loop_
_atom_site_label
_atom_site_fract_x
_atom_site_fract_y
_atom_site_fract_z
Na1 0.0000 0.0000 0.0000
Na2 0.0000 0.0000 0.2500
Ca1 0.0000 0.0000 0.5000
Hg1 0.0000 0.5000 0.1254
Hg2 0.0000 0.5000 0.3742
Hg3 0.5000 0.5000 0.0000
Hg4 0.5000 0.5000 0.2518
Hg5 0.5000 0.5000 0.5000

# Na2CaHg8, relaxed, DFT PBE
# E = -0.88 eV/atom
# crystal system = orthorhombic
# energy above the most stable polymorph in this dataset = 0 meV per atom
data_Na2CaHg8
_space_group_name_H-M_alt 'I m m m'
_space_group_IT_number 71
_space_group_name_Hall '-I 2 2'
_cell_length_a 5.1318
_cell_length_b 7.7423
_cell_length_c 14.4842
_cell_angle_alpha 90.00
_cell_angle_beta 90.00
_cell_angle_gamma 90.00
loop_
_atom_site_label
_atom_site_fract_x
_atom_site_fract_y
_atom_site_fract_z
Na1 0.0000 0.0000 0.2057
Ca1 0.0000 0.0000 0.5000
Hg1 0.0000 0.1962 0.0000
Hg2 0.0000 0.2989 0.3567
Hg3 0.0000 0.5000 0.1578

# NaCa2Hg9, relaxed, DFT PBE
# E = -0.99 eV/atom
# crystal system = tetragonal
data_NaCa2Hg9
_space_group_name_H-M_alt 'P 4/m m m'
_space_group_IT_number 123
_space_group_name_Hall '-P 4 2'
_cell_length_a 4.6992
_cell_length_b 4.6992
_cell_length_c 14.0608
_cell_angle_alpha 90.00
_cell_angle_beta 90.00
_cell_angle_gamma 90.00
loop_
_atom_site_label
_atom_site_fract_x
_atom_site_fract_y
_atom_site_fract_z
Na1 0.0000 0.0000 0.0000
Ca1 0.0000 0.0000 0.3301
Hg1 0.0000 0.5000 0.1648
Hg2 0.0000 0.5000 0.5000
Hg3 0.5000 0.5000 0.0000
Hg4 0.5000 0.5000 0.3374